Entry 1:
# NaTe4S8 | Alexandria | PBE | optimized geometry
data_NaTe4S8
_chemical_formula_sum 'Na2 Te8 S16'
_cell_length_a 14.013
_cell_length_b 7.775
_cell_length_c 9.876
_cell_angle_alpha 90.00
_cell_angle_beta 133.21
_cell_angle_gamma 90.00
_symmetry_space_group_name_H-M 'C 1 2/m 1'
_symmetry_Int_Tables_number 12
loop_
_symmetry_equiv_pos_as_xyz
'x,y,z'
'-x,-y,-z'
'-x,y,-z'
'x,-y,z'
'x+1/2,y+1/2,z'
'-x+1/2,-y+1/2,-z'
'-x+1/2,y+1/2,-z'
'x+1/2,-y+1/2,z'
loop_
_atom_site_label
_atom_site_type_symbol
_atom_site_fract_x
_atom_site_fract_y
_atom_site_fract_z
Na1 Na 0.000 0.000 0.000
Te1 Te 0.000 0.257 0.500
Te2 Te 0.247 0.500 0.505
S1 S 0.008 0.000 0.701
S2 S 0.022 0.500 0.704
S3 S 0.230 0.226 0.292
# calculated volume = 30.17 Å³ per atom
# D(E_F) = 2.15 states/eV/f.u.
# raw formation energy = -0.0497 eV/atom

---

Entry 2:
# Na5TeS6 | Alexandria | PBE | optimized geometry
data_Na5TeS6
_chemical_formula_sum 'Na10 Te2 S12'
_cell_length_a 7.046
_cell_length_b 12.216
_cell_length_c 6.931
_cell_angle_alpha 90.00
_cell_angle_beta 110.94
_cell_angle_gamma 90.00
_symmetry_space_group_name_H-M 'C 1 2/m 1'
_symmetry_Int_Tables_number 12
loop_
_symmetry_equiv_pos_as_xyz
'x,y,z'
'-x,-y,-z'
'-x,y,-z'
'x,-y,z'
'x+1/2,y+1/2,z'
'-x+1/2,-y+1/2,-z'
'-x+1/2,y+1/2,-z'
'x+1/2,-y+1/2,z'
loop_
_atom_site_label
_atom_site_type_symbol
_atom_site_fract_x
_atom_site_fract_y
_atom_site_fract_z
Na1 Na 0.000 0.000 0.000
Na2 Na 0.000 0.170 0.500
Na3 Na 0.000 0.337 0.000
Te1 Te 0.000 0.500 0.500
S1 S 0.220 0.354 0.729
S2 S 0.220 0.500 0.289
# calculated volume = 23.22 Å³ per atom
# D(E_F) = 12.08 states/eV/f.u.
# raw formation energy = -0.5798 eV/atom

---

Entry 3:
# Na4TeS | Alexandria | PBE | optimized geometry
data_Na4TeS
_chemical_formula_sum 'Na4 Te1 S1'
_cell_length_a 4.889
_cell_length_b 4.889
_cell_length_c 7.028
_cell_angle_alpha 90.00
_cell_angle_beta 90.00
_cell_angle_gamma 90.00
_symmetry_space_group_name_H-M 'P 4/m m m'
_symmetry_Int_Tables_number 123
_symmetry_space_group_name_Hall '-P 4 2'
loop_
_atom_site_label
_atom_site_type_symbol
_atom_site_fract_x
_atom_site_fract_y
_atom_site_fract_z
Na1 Na 0.000 0.500 0.230
Te1 Te 0.000 0.000 0.500
S1 S 0.500 0.500 0.000
# calculated volume = 28.00 Å³ per atom
# D(E_F) = 0.00 states/eV/f.u.
# raw formation energy = -0.9723 eV/atom
# offset from the most stable computed form = 0.03 eV/f.u.

---

Entry 4:
# NaThTe2S6 | Alexandria | PBE | optimized geometry
data_NaThTe2S6
_chemical_formula_sum 'Na3 Th3 Te6 S18'
_cell_length_a 6.9371
_cell_length_b 6.9371
_cell_length_c 20.0233
_cell_angle_alpha 90.00
_cell_angle_beta 90.00
_cell_angle_gamma 120.00
_symmetry_space_group_name_H-M 'R 3'
_symmetry_Int_Tables_number 146
_symmetry_space_group_name_Hall 'R 3'
loop_
_atom_site_label
_atom_site_type_symbol
_atom_site_fract_x
_atom_site_fract_y
_atom_site_fract_z
Na1 Na 0.0000 0.0000 0.0000
Th1 Th 0.0000 0.0000 0.5072
Te1 Te 0.0000 0.0000 0.2952
Te2 Te 0.0000 0.0000 0.7760
S1 S 0.0021 0.2952 0.4115
S2 S 0.0286 0.6888 0.9059
# calculated volume = 27.82 Å³ per atom
# D(E_F) = 4.73 states/eV/f.u.
# raw formation energy = -0.6078 eV/atom

---

Entry 5:
# Na2TiTe2S6 | Alexandria | PBE | optimized geometry
data_Na2TiTe2S6
_chemical_formula_sum 'Na4 Ti2 Te4 S12'
_cell_length_a 7.505
_cell_length_b 10.976
_cell_length_c 7.128
_cell_angle_alpha 90.00
_cell_angle_beta 112.82
_cell_angle_gamma 90.00
_symmetry_space_group_name_H-M 'C 1 2/m 1'
_symmetry_Int_Tables_number 12
loop_
_symmetry_equiv_pos_as_xyz
'x,y,z'
'-x,-y,-z'
'-x,y,-z'
'x,-y,z'
'x+1/2,y+1/2,z'
'-x+1/2,-y+1/2,-z'
'-x+1/2,y+1/2,-z'
'x+1/2,-y+1/2,z'
loop_
_atom_site_label
_atom_site_type_symbol
_atom_site_fract_x
_atom_site_fract_y
_atom_site_fract_z
Na1 Na 0.000 0.175 0.000
Ti1 Ti 0.000 0.000 0.500
Te1 Te 0.000 0.327 0.500
S1 S 0.207 0.161 0.718
S2 S 0.213 0.000 0.306
# calculated volume = 24.60 Å³ per atom
# D(E_F) = 1.45 states/eV/f.u.
# raw formation energy = -0.6272 eV/atom

---

Entry 6:
# NaTiTe2S | Alexandria | PBE | optimized geometry
data_NaTiTe2S
_chemical_formula_sum 'Na1 Ti1 Te2 S1'
_cell_length_a 5.502
_cell_length_b 5.502
_cell_length_c 4.642
_cell_angle_alpha 90.00
_cell_angle_beta 90.00
_cell_angle_gamma 90.00
_symmetry_space_group_name_H-M 'P 4/m m m'
_symmetry_Int_Tables_number 123
_symmetry_space_group_name_Hall '-P 4 2'
loop_
_atom_site_label
_atom_site_type_symbol
_atom_site_fract_x
_atom_site_fract_y
_atom_site_fract_z
Na1 Na 0.000 0.000 0.000
Ti1 Ti 0.500 0.500 0.500
Te1 Te 0.000 0.500 0.500
S1 S 0.500 0.500 0.000
# calculated volume = 28.10 Å³ per atom
# D(E_F) = 3.62 states/eV/f.u.
# raw formation energy = -0.6059 eV/atom